Material: Be4CdOs
Method: DFT, GGA-PBE
State: optimized geometry

Structure (CIF):
```
data_Be4CdOs
_cell_length_a 4.502
_cell_length_b 4.502
_cell_length_c 4.502
_cell_angle_alpha 60.00
_cell_angle_beta 60.00
_cell_angle_gamma 60.00
_space_group_name_H-M_alt 'P 1'
_space_group_IT_number 1
_space_group_name_Hall 'P 1'
loop_
_atom_site_label
_atom_site_fract_x
_atom_site_fract_y
_atom_site_fract_z
Be1 0.628 0.628 0.628
Be2 0.628 0.628 0.117
Be3 0.117 0.628 0.628
Be4 0.628 0.117 0.628
Os1 0.000 0.000 0.000
Cd1 0.250 0.250 0.250
```

Computed properties:
Electronic total energy = -26.66 eV for the cell shown
Formation energy from the elements = 0.0651 eV/atom